2
Lattice="4.067 0.000 0.000 -2.033 3.522 0.000 0.000 0.000 3.768" Properties=species:S:1:pos:R:3 comment="PmAs | OQMD | PBE | relaxed" total_magnetization_mub_per_fu=0.000 total_energy_ev_per_cell=-11.9 pbc="T T T"
Pm 0.000 2.348 0.942
As 2.033 1.174 2.826